[1]
Entry from the Alexandria database: a geometry-optimized Si2Ni structure (PBEsol).

Lattice parameters (Å, degrees): 4.576 4.576 4.576 106.18 106.18 116.28
Element x y z (fractional)
Ni1 0.250 0.250 0.000
Ni2 0.750 0.750 0.000
Si1 0.344 0.844 0.189
Si2 0.656 0.156 0.811
Si3 0.844 0.656 0.500
Si4 0.156 0.344 0.500

Summary:
The calculation puts the total energy at -6.224 eV per atom. Its density of states at the Fermi level is 0.352 states/eV/atom. Its formation energy (no corrections) is -340 meV per atom.


[2]
Entry from the Alexandria database: a geometry-optimized Si3Ni5 structure (PBEsol).

Lattice parameters (Å, degrees): 4.653 6.619 6.619 120.00 90.00 90.00
Element x y z (fractional)
Ni1 0.000 0.667 0.333
Ni2 0.500 0.333 0.667
Ni3 0.000 0.333 0.667
Ni4 0.500 0.667 0.333
Ni5 0.750 0.743 0.743
Ni6 0.250 0.257 0.257
Ni7 0.750 0.000 0.257
Ni8 0.750 0.257 0.000
Ni9 0.250 0.743 0.000
Ni10 0.250 0.000 0.743
Si1 0.750 0.389 0.389
Si2 0.250 0.611 0.611
Si3 0.750 0.000 0.611
Si4 0.750 0.611 0.000
Si5 0.250 0.389 0.000
Si6 0.250 0.000 0.389

Summary:
The calculation puts the total energy at -6.569 eV per atom. Its density of states at the Fermi level is 0.390 states/eV/atom. Its formation energy (no corrections) is -566 meV per atom.